A plane-wave DFT calculation with PBE with a Hubbard U was carried out for AlFeNO2 after structural relaxation.

Summary:
E_tot	-6.160	eV per atom

Lattice parameters (Å, degrees): 3.6282 3.6282 3.8059 90.00 90.00 90.00
Closest atoms and distances in Å follow each position.
Sites, in units of the cell vectors:
Al 0.0000 0.0000 0.0000  4 O 1.81, 2 N 1.90
Fe 0.5000 0.5000 0.5000  4 N 2.57, 8 O 2.63
N 0.0000 0.0000 0.5000  2 Al 1.90
O 0.0000 0.5000 0.0000  2 Al 1.81
O 0.5000 0.0000 0.0000  2 Al 1.81